[1]
Sc2CdAs (PBE, relaxed); DFT total energy = -5.207 eV/atom; density of states at the Fermi level = 2.58 states/eV/cell; distance to the lowest polymorph of the same formula = 65 meV per atom; formation energy from the elements = -0.650 eV per atom
1.0
3.575 0.000 0.000
0.000 3.566 0.000
-0.049 0.000 6.427
Sc Cd As
2 1 1
Cartesian
0.000 0.000 1.753
3.526 0.000 4.674
1.787 1.783 0.000
1.763 1.783 3.213

[2]
ScCdAs2Se (PBE, relaxed); DFT total energy = -3.552 eV/atom; density of states at the Fermi level = 4.07 states/eV/cell; distance to the lowest polymorph of the same formula = 439 meV per atom; E_form (uncorrected) = 219 kJ/mol of formula units
1.0
5.051 0.000 0.000
0.000 5.051 0.000
0.000 0.000 5.202
Sc Cd As Se
1 1 2 1
Cartesian
0.000 0.000 0.000
2.526 2.526 2.601
0.000 2.526 2.601
2.526 0.000 2.601
2.526 2.526 0.000

[3]
ScCdAsSe2 (PBE, relaxed); DFT total energy = -3.496 eV/atom; density of states at the Fermi level = 5.05 states/eV/cell; distance to the lowest polymorph of the same formula = 470 meV per atom; E_form (uncorrected) = 134 kJ/mol of formula units
1.0
5.167 0.000 0.000
0.000 5.167 0.000
0.000 0.000 5.045
Sc Cd As Se
1 1 1 2
Cartesian
0.000 0.000 0.000
2.583 2.583 2.522
2.583 2.583 0.000
0.000 2.583 2.522
2.583 0.000 2.522

[4]
ScCdAs2Se (PBE, relaxed); DFT total energy = -3.990 eV/atom; density of states at the Fermi level = 4.11 states/eV/cell; distance to the lowest polymorph of the same formula = 0 meV per atom; E_form (uncorrected) = 8 kJ/mol of formula units
1.0
5.173 0.000 0.000
0.000 5.173 0.000
0.000 0.000 5.061
Sc Cd As Se
1 1 2 1
Cartesian
0.000 0.000 0.000
2.587 2.587 2.530
0.000 2.587 0.000
2.587 0.000 0.000
0.000 0.000 2.530

[5]
ScCdAsSe2 (PBE, relaxed); DFT total energy = -3.966 eV/atom; density of states at the Fermi level = 6.44 states/eV/cell; distance to the lowest polymorph of the same formula = 0 meV per atom; E_form (uncorrected) = -93 kJ/mol of formula units
1.0
5.118 0.000 0.000
0.000 5.118 0.000
0.000 0.000 5.230
Sc Cd As Se
1 1 1 2
Cartesian
0.000 0.000 0.000
2.559 2.559 2.615
0.000 0.000 2.615
0.000 2.559 0.000
2.559 0.000 0.000

[6]
Sr2ScCdAs (PBE, relaxed); DFT total energy = -3.454 eV/atom; density of states at the Fermi level = 5.67 states/eV/cell; formation energy from the elements = -0.402 eV per atom
1.0
6.001 0.000 0.000
0.000 6.001 0.000
0.000 0.000 5.096
Sr Sc Cd As
2 1 1 1
Cartesian
0.000 3.000 0.000
3.000 0.000 0.000
0.000 0.000 2.548
3.000 3.000 2.548
0.000 0.000 0.000

[7]
ScCdTe2As (PBE, relaxed); DFT total energy = -3.333 eV/atom; density of states at the Fermi level = 3.06 states/eV/cell; E_form (uncorrected) = 146 kJ/mol of formula units
1.0
5.507 0.000 0.000
0.000 5.507 0.000
0.000 0.000 5.839
Sc Cd Te As
1 1 2 1
Cartesian
0.000 0.000 0.000
0.000 0.000 2.919
0.000 2.754 0.000
2.754 0.000 0.000
2.754 2.754 2.919

[8]
CdAs2Se2 (PBE, relaxed); DFT total energy = -3.378 eV/atom; density of states at the Fermi level = 3.66 states/eV/cell; distance to the lowest polymorph of the same formula = 0 meV per atom; E_form (uncorrected) = 28 kJ/mol of formula units
1.0
8.322 0.000 0.000
0.000 8.322 0.000
0.000 0.000 3.639
Cd As Se
2 4 4
Cartesian
0.000 0.000 0.000
4.161 4.161 0.000
1.782 2.379 0.000
2.379 6.540 0.000
5.942 1.782 0.000
6.540 5.942 0.000
1.194 5.355 1.820
2.966 1.194 1.820
5.355 7.127 1.820
7.127 2.966 1.820

- Which of these has the lowest DFT total energy?
  Sc2CdAs